# 1
A plane-wave DFT calculation with PBE was carried out for a relaxed structure of La4NdSmHo2.

Summary:
Calculated formation energy   11 meV/atom
Spin magnetization   0.0000 μB per atom

Lattice parameters (Å, degrees): 3.682 6.356 12.020 79.85 90.00 90.00
Element x y z (fractional)
La: 0.000 0.753 0.747
La: 0.000 0.247 0.253
La: 0.500 0.753 0.249
La: 0.500 0.247 0.751
Nd: 0.500 0.500 0.000
Sm: 0.000 0.500 0.500
Ho: 0.000 0.000 0.000
Ho: 0.500 0.000 0.500

# 2
A plane-wave DFT calculation with PBE was carried out for a relaxed structure of La4Nd2Sm2Ho.

Summary:
Calculated formation energy   21 meV/atom
Spin magnetization   0.0000 μB per atom

Lattice parameters (Å, degrees): 5.221 8.252 8.201 107.71 90.00 108.44
Element x y z (fractional)
La: 0.778 0.555 0.669
La: 0.222 0.445 0.331
La: 0.555 0.109 0.330
La: 0.445 0.891 0.670
Nd: 0.888 0.776 0.330
Nd: 0.112 0.224 0.670
Sm: 0.334 0.668 0.000
Sm: 0.666 0.332 0.000
Ho: 0.000 0.000 0.000

# 3
A plane-wave DFT calculation with PBE was carried out for a relaxed structure of LaNd3Sm6Ho2.

Summary:
Calculated formation energy   18 meV/atom
Spin magnetization   0.0000 μB per atom

Lattice parameters (Å, degrees): 6.296 6.296 12.080 94.99 94.99 119.98
Element x y z (fractional)
La: 0.000 0.000 0.000
Nd: 0.167 0.833 0.500
Nd: 0.833 0.167 0.500
Nd: 0.500 0.500 0.500
Sm: 0.917 0.582 0.752
Sm: 0.748 0.748 0.248
Sm: 0.083 0.418 0.248
Sm: 0.582 0.917 0.752
Sm: 0.252 0.252 0.752
Sm: 0.418 0.083 0.248
Ho: 0.333 0.667 0.000
Ho: 0.667 0.333 0.000

# 4
A plane-wave DFT calculation with PBE was carried out for a relaxed structure of La2Nd4Sm2Ho.

Summary:
Calculated formation energy   10 meV/atom
Spin magnetization   0.0000 μB per atom

Lattice parameters (Å, degrees): 3.702 9.767 9.830 115.09 90.00 100.93
Element x y z (fractional)
La: 0.335 0.670 0.001
La: 0.665 0.330 0.999
Nd: 0.815 0.629 0.666
Nd: 0.185 0.371 0.334
Nd: 0.518 0.037 0.332
Nd: 0.482 0.963 0.668
Sm: 0.852 0.705 0.334
Sm: 0.148 0.295 0.666
Ho: 0.000 0.000 0.000

Number 1: energy -38.3 eV per cell. Number 2: energy -43.1 eV per cell. Number 3: energy -56.5 eV per cell. Number 4: energy -42.9 eV per cell.